<P>
# TlPdPb | OQMD | GGA-PBE | optimized geometry
# Space-group type: Pnma, No. 62
# V (Å³/cell): 284.5
data_TlPdPb
_chemical_formula_sum 'Tl4 Pd4 Pb4'
_space_group_name_H-M_alt 'P 1'
_space_group_IT_number 1
_cell_length_a 6.900
_cell_length_b 3.623
_cell_length_c 11.380
_cell_angle_alpha 90.00
_cell_angle_beta 90.00
_cell_angle_gamma 90.00
loop_
_space_group_symop_operation_xyz
'x,y,z'
loop_
_atom_site_label
_atom_site_type_symbol
_atom_site_fract_x
_atom_site_fract_y
_atom_site_fract_z
Tl1 Tl 0.135 0.250 0.100
Tl2 Tl 0.365 0.750 0.600
Tl3 Tl 0.635 0.250 0.400
Tl4 Tl 0.865 0.750 0.900
Pd1 Pd 0.115 0.250 0.752
Pd2 Pd 0.385 0.750 0.252
Pd3 Pd 0.615 0.250 0.748
Pd4 Pd 0.885 0.750 0.248
Pb1 Pb 0.132 0.250 0.388
Pb2 Pb 0.368 0.750 0.888
Pb3 Pb 0.632 0.250 0.112
Pb4 Pb 0.868 0.750 0.612

***

<Q>
# TlPdPb | OQMD | GGA-PBE | optimized geometry
# Space-group type: Ima2, No. 46
# V (Å³/cell): 140.4
data_TlPdPb
_chemical_formula_sum 'Tl2 Pd2 Pb2'
_space_group_name_H-M_alt 'P 1'
_space_group_IT_number 1
_cell_length_a 5.699
_cell_length_b 5.699
_cell_length_c 5.699
_cell_angle_alpha 117.43
_cell_angle_beta 105.70
_cell_angle_gamma 105.59
loop_
_space_group_symop_operation_xyz
'x,y,z'
loop_
_atom_site_label
_atom_site_type_symbol
_atom_site_fract_x
_atom_site_fract_y
_atom_site_fract_z
Tl1 Tl 0.164 0.250 0.414
Tl2 Tl 0.836 0.750 0.586
Pd1 Pd 0.665 0.165 0.500
Pd2 Pd 0.665 0.665 0.000
Pb1 Pb 0.165 0.577 0.089
Pb2 Pb 0.488 0.077 0.911

***

<R>
# TlPdPb | OQMD | GGA-PBE | optimized geometry
# Space-group type: F-43m, No. 216
# V (Å³/cell): 82.7
data_TlPdPb
_chemical_formula_sum 'Tl1 Pd1 Pb1'
_space_group_name_H-M_alt 'P 1'
_space_group_IT_number 1
_cell_length_a 4.891
_cell_length_b 4.891
_cell_length_c 4.891
_cell_angle_alpha 60.00
_cell_angle_beta 60.00
_cell_angle_gamma 60.00
loop_
_space_group_symop_operation_xyz
'x,y,z'
loop_
_atom_site_label
_atom_site_type_symbol
_atom_site_fract_x
_atom_site_fract_y
_atom_site_fract_z
Tl1 Tl 0.000 0.000 0.000
Pd1 Pd 0.500 0.500 0.500
Pb1 Pb 0.750 0.750 0.750

***

Most stable: <Q> (next structure +66 meV/atom)